# LiAlTc2

A geometry-optimized LiAlTc2 structure (PBE, OQMD).

Structure (POSCAR):
```
LiAlTc2
1.0
0.0000 3.0092 3.0092
3.0092 0.0000 3.0092
3.0092 3.0092 0.0000
Al Li Tc
1 1 2
Cartesian
3.0092 3.0092 3.0092
1.5046 1.5046 1.5046
4.5138 4.5138 4.5138
0.0000 0.0000 0.0000
```

Output
space-group type: F-43m
total magnetic moment: 0.00 μB/cell

=====

# LiAlTc

A geometry-optimized LiAlTc structure (PBE, OQMD).

Structure (POSCAR):
```
LiAlTc
1.0
-0.6264 -3.1519 -2.6920
-3.1893 -2.6563 0.5882
-3.2971 0.0777 -2.5879
Al Tc Li
1 1 1
Cartesian
-3.5564 -2.8653 -2.3458
-5.3346 -4.2979 -3.5188
0.0000 0.0000 0.0000
```

Output
space-group type: F-43m
E above lowest polymorph: 2.5 kJ/mol of atoms
total magnetic moment: 1.24 μB/cell

=====

# Li2ZrAlTe4

A geometry-optimized Li2ZrAlTe4 structure (PBE, OQMD).

Structure (POSCAR):
```
Li2ZrAlTe4
1.0
-3.2089 3.2089 6.3151
3.2089 -3.2089 6.3151
3.2089 3.2089 -6.3151
Li Te Zr Al
2 4 1 1
Cartesian
3.2089 0.0000 3.1575
0.0000 0.0000 6.3151
1.5364 4.8651 -1.5264
1.6726 -1.6562 4.7887
1.6562 1.6726 7.8415
1.5527 1.5364 1.5264
0.0000 3.2089 3.1575
0.0000 0.0000 0.0000
```

Output
space-group type: I-4
total magnetic moment: 0.98 μB/cell

=====

# Li4AlTlZn2

A geometry-optimized Li4AlTlZn2 structure (PBE, OQMD).

Structure (POSCAR):
```
Li4AlTlZn2
1.0
4.4506 0.0000 0.0000
0.0000 4.4506 0.0000
0.0000 0.0000 6.3504
Li Zn Tl Al
4 2 1 1
Cartesian
2.2253 0.0000 1.5251
2.2253 2.2253 0.0000
0.0000 0.0000 3.1752
0.0000 2.2253 4.8253
0.0000 2.2253 1.4358
2.2253 0.0000 4.9146
2.2253 2.2253 3.1752
0.0000 0.0000 0.0000
```

Output
space-group type: P-4m2

=====

# Li2AlZn

A geometry-optimized Li2AlZn structure (PBE, OQMD).

Structure (POSCAR):
```
Li2AlZn
1.0
-0.7166 1.4780 4.0337
1.9378 -3.5398 1.6413
5.4365 2.9267 -0.1066
Al Zn Li
2 2 4
Cartesian
4.1923 3.6548 2.9325
0.5276 0.7500 0.9946
2.8411 -0.2960 1.7889
3.8166 1.1610 3.7796
3.1630 2.1687 0.9429
5.4967 1.1336 1.7368
1.5570 2.2360 2.9842
1.1610 -0.2686 3.8316
```

Output
space-group type: Pmma

=====

# Li4AlZn3

A geometry-optimized Li4AlZn3 structure (PBE, OQMD).

Structure (POSCAR):
```
Li4AlZn3
1.0
-3.8458 0.5780 -1.9151
-1.3559 -3.8046 1.5744
-2.0757 2.8165 5.0185
Li Al Zn
4 1 3
Cartesian
0.0000 0.0000 0.0000
-2.4252 0.9705 0.2568
-3.6387 -0.2051 2.3389
-2.2514 0.2326 4.5914
-1.0379 1.4082 2.5093
-2.6008 -1.6133 -0.1704
-1.1975 -1.1973 2.0434
-3.4791 2.4005 2.8048
```

Output
space-group type: P-4m2

=====

# LiAl2Zn

A geometry-optimized LiAl2Zn structure (PBE, OQMD).

Structure (POSCAR):
```
LiAl2Zn
1.0
-4.1955 -1.1423 0.9979
-2.9898 -0.5787 -3.2602
-1.4860 -4.0949 -0.9627
Li Al Zn
1 2 1
Cartesian
-6.5035 -4.3620 -2.4188
-2.1678 -1.4540 -0.8063
0.0000 0.0000 0.0000
-4.3357 -2.9080 -1.6125
```

Output
space-group type: F-43m

=====

# Li3AlZn4

A geometry-optimized Li3AlZn4 structure (PBE, OQMD).

Structure (POSCAR):
```
Li3AlZn4
1.0
5.2296 0.0000 0.0000
0.0000 5.2296 0.0000
0.0000 0.0000 5.2296
Zn Al Li
4 1 3
Cartesian
0.0000 0.0000 2.6148
2.6148 2.6148 2.6148
0.0000 2.6148 0.0000
2.6148 0.0000 0.0000
0.0000 0.0000 0.0000
2.6148 0.0000 2.6148
0.0000 2.6148 2.6148
2.6148 2.6148 0.0000
```

Output
space-group type: Pm-3m

=====

no.,total energy (eV per atom)
1,-6.84
2,-4.68
3,-4.24
4,-2.25
5,-2.43
6,-2.12
7,-2.71
8,-1.66